1.
Material: VH2Pd8
Method: DFT, PBE
State: relaxed

Cell and atoms, written as CIF:
```
data_VH2Pd8
_chemical_formula_sum 'V2 H4 Pd16'
_cell_length_a 11.792
_cell_length_b 7.071
_cell_length_c 3.682
_cell_angle_alpha 90.00
_cell_angle_beta 95.76
_cell_angle_gamma 90.00
_space_group_name_H-M_alt 'C 1 2/m 1'
_space_group_IT_number 12
_space_group_name_Hall '-C 2y'
loop_
_atom_site_label
_atom_site_type_symbol
_atom_site_fract_x
_atom_site_fract_y
_atom_site_fract_z
_atom_site_occupancy
V1 V 0.000 0.000 0.000 1
H1 H 0.246 0.500 0.296 1
Pd1 Pd 0.089 0.500 0.223 1
Pd2 Pd 0.110 0.207 0.663 1
Pd3 Pd 0.231 0.000 0.198 1
```

Offset from the most stable computed form in eV/atom: 0.1759
Total magnetization in μB/f.u.: 0.00

2.
Material: Eu2PuGa
Method: DFT, PBE
State: relaxed

Cell and atoms, written as CIF:
```
data_Eu2PuGa
_chemical_formula_sum 'Eu2 Pu1 Ga1'
_cell_length_a 3.711
_cell_length_b 3.711
_cell_length_c 8.791
_cell_angle_alpha 90.00
_cell_angle_beta 90.00
_cell_angle_gamma 90.00
_space_group_name_H-M_alt 'P 4/m m m'
_space_group_IT_number 123
_space_group_name_Hall '-P 4 2'
loop_
_atom_site_label
_atom_site_type_symbol
_atom_site_fract_x
_atom_site_fract_y
_atom_site_fract_z
_atom_site_occupancy
Eu1 Eu 0.000 0.000 0.207 1
Pu1 Pu 0.500 0.500 0.500 1
Ga1 Ga 0.500 0.500 0.000 1
```

Total magnetization in μB/f.u.: 21.20
Calculated formation energy in meV per atom: -78

3.
Material: TbPuI2
Method: DFT, PBE
State: relaxed

Cell and atoms, written as CIF:
```
data_TbPuI2
_chemical_formula_sum 'Tb3 Pu3 I6'
_cell_length_a 3.8322
_cell_length_b 3.8322
_cell_length_c 32.8213
_cell_angle_alpha 90.00
_cell_angle_beta 90.00
_cell_angle_gamma 120.00
_space_group_name_H-M_alt 'R -3 m'
_space_group_IT_number 166
_space_group_name_Hall '-R 3 2"'
loop_
_atom_site_label
_atom_site_type_symbol
_atom_site_fract_x
_atom_site_fract_y
_atom_site_fract_z
_atom_site_occupancy
Tb1 Tb 0.0000 0.0000 0.0000 1
Pu1 Pu 0.0000 0.0000 0.5000 1
I1 I 0.0000 0.0000 0.4005 1
```

Total magnetization in μB/f.u.: 6.99
E_form (uncorrected) in kJ per mole of atoms: -51.1